FeNi6Rh | Alexandria | PBE | optimized geometry; polymorph energy (0 for the lowest one) = 1 meV/atom; energy of formation = -20.5 meV/atom; final energy = -6.33 eV per atom; D(E_F) = 39.8 states/eV/cell
1.0
6.211 0.003 0.000
-2.085 5.850 0.000
0.000 0.000 10.157
Fe Ni Rh
4 24 4
Cartesian
-0.012 4.389 7.618
4.138 1.464 7.618
2.063 2.927 5.101
2.063 2.927 10.136
0.004 4.378 5.121
4.128 3.632 6.377
-0.003 2.221 6.377
4.122 1.475 5.121
2.093 0.744 6.377
2.033 5.109 6.377
2.063 2.927 2.540
0.024 2.211 3.845
2.075 0.765 3.845
0.004 4.378 10.116
4.102 3.642 1.235
0.024 2.211 1.235
4.122 1.475 10.116
2.075 0.766 1.235
2.051 5.088 1.235
2.063 2.927 7.618
-0.003 2.221 8.859
2.093 0.744 8.859
0.000 0.000 2.540
2.051 5.088 3.845
4.102 3.642 3.845
0.000 0.000 7.619
2.033 5.109 8.859
4.128 3.632 8.859
-0.011 4.389 2.540
4.137 1.464 2.540
0.000 0.000 5.087
0.000 0.000 10.149

***

FeNiRh3 | Alexandria | PBE | optimized geometry; polymorph energy (0 for the lowest one) = 744 meV/atom; energy of formation = 1587.1 meV/atom; final energy = -5.67 eV per atom; D(E_F) = 21.4 states/eV/cell
1.0
-3.652 -2.418 -0.445
0.994 -2.180 3.693
-2.249 2.963 2.355
Ni Rh Fe
1 3 1
Cartesian
0.000 0.000 0.000
0.497 -1.090 1.847
-1.124 1.482 1.177
-1.826 -1.209 -0.222
-2.453 -0.818 2.802